The following is a DFT calculation (meta-GGA SCAN) of a PBEsol-optimized structure of Pr5NiPb3.

Geometry as POSCAR:
```
Pr5NiPb3
1.0
6.8478 0.0000 0.0000
0.0000 9.4358 0.0000
0.0000 -4.7179 8.1717
Pr Pb Ni
10 6 2
Direct
0.7500 0.2415 0.0000
0.2500 0.7585 0.0000
0.2500 0.2415 0.2415
0.5000 0.3333 0.6667
0.2500 0.0000 0.7585
0.7500 0.7585 0.7585
0.0000 0.6667 0.3333
0.0000 0.3333 0.6667
0.7500 0.0000 0.2415
0.5000 0.6667 0.3333
0.2500 0.6015 0.6015
0.7500 0.6015 0.0000
0.2500 0.0000 0.3985
0.7500 0.0000 0.6015
0.2500 0.3985 0.0000
0.7500 0.3985 0.3985
0.5000 0.0000 0.0000
0.0000 0.0000 0.0000
```

Summary:
Space group   P6_3/mcm (193)

The following is a DFT calculation (meta-GGA SCAN) of a PBEsol-optimized structure of Ni2PtPb.

Geometry as POSCAR:
```
Ni2PtPb
1.0
-1.9460 -0.5100 -3.0636
-1.9514 -2.9865 1.7367
-2.7381 2.5533 1.3142
Pb Ni Pt
1 2 1
Direct
0.5000 0.5000 0.5000
0.0000 0.5000 0.0000
0.0000 0.0000 0.5000
0.5000 0.0000 0.0000
```

Summary:
Space group   P4/mmm (123)

The following is a DFT calculation (meta-GGA SCAN) of a PBEsol-optimized structure of NiPtPb2.

Geometry as POSCAR:
```
NiPtPb2
1.0
-1.4077 -2.7151 -1.4145
2.4469 -0.0579 -2.3242
3.3110 -3.9581 4.3023
Pt Pb Ni
1 2 1
Direct
0.5000 0.5000 0.5000
0.0000 0.0142 0.7589
0.0000 0.9858 0.2411
0.5000 0.5000 0.0000
```

Summary:
Space group   P2/m (10)

The following is a DFT calculation (meta-GGA SCAN) of a PBEsol-optimized structure of Ni2PtPb.

Geometry as POSCAR:
```
Ni2PtPb
1.0
-3.4199 -0.2443 -1.8031
-1.6067 -1.3964 3.2365
1.6632 4.4087 0.4095
Pb Pt Ni
1 1 2
Direct
0.0000 0.0000 0.0000
0.2500 0.7500 0.5000
0.5000 0.5000 0.0000
0.7500 0.2500 0.5000
```

Summary:
Space group   I-4m2 (119)

The following is a DFT calculation (meta-GGA SCAN) of a PBEsol-optimized structure of NiPt4Pb.

Geometry as POSCAR:
```
NiPt4Pb
1.0
-1.0733 4.1287 -3.0839
-4.1265 3.0860 1.0753
0.7665 4.8909 1.7887
Pt Pb Ni
4 1 1
Direct
0.8733 0.3756 0.3756
0.3756 0.3756 0.3756
0.3756 0.3756 0.8733
0.3756 0.8733 0.3756
0.0000 0.0000 0.0000
0.7500 0.7500 0.7500
```

Summary:
Space group   F-43m (216)

The following is a DFT calculation (meta-GGA SCAN) of a PBEsol-optimized structure of Rb3NiPb.

Geometry as POSCAR:
```
Rb3NiPb
1.0
6.1766 0.0000 0.0000
0.0000 6.1766 0.0000
0.0000 0.0000 6.1766
Rb Pb Ni
3 1 1
Direct
0.5000 0.0000 0.0000
0.0000 0.0000 0.5000
0.0000 0.5000 0.0000
0.5000 0.5000 0.5000
0.0000 0.0000 0.0000
```

Summary:
Space group   Pm-3m (221)

ΔE_f in meV per atom, matching the order above: -706 94 294 156 126 572